DFT (PBE) results for a relaxed TcSe crystal.

The structure in CIF format:
```
data_TcSe
_symmetry_space_group_name_H-M 'P 1'
_symmetry_Int_Tables_number 1
_cell_length_a 5.2201
_cell_length_b 5.2201
_cell_length_c 5.2201
_cell_angle_alpha 90.00
_cell_angle_beta 90.00
_cell_angle_gamma 90.00
loop_
_symmetry_equiv_pos_as_xyz
'x,y,z'
loop_
_atom_site_label
_atom_site_fract_x
_atom_site_fract_y
_atom_site_fract_z
Tc1 0.0000 0.0000 0.0000
Tc2 0.0000 0.5000 0.5000
Tc3 0.5000 0.0000 0.5000
Tc4 0.5000 0.5000 0.0000
Se1 0.0000 0.0000 0.5000
Se2 0.0000 0.5000 0.0000
Se3 0.5000 0.0000 0.0000
Se4 0.5000 0.5000 0.5000
```

Computed properties:
energy	-6.362	eV/atom
density	8.3	Mg/m³
distance to the lowest polymorph of the same formula	313	meV/atom



DFT (PBE) results for a relaxed ZnAu2I4 crystal.

The structure in CIF format:
```
data_ZnAu2I4
_symmetry_space_group_name_H-M 'P 1'
_symmetry_Int_Tables_number 1
_cell_length_a 6.2884
_cell_length_b 6.2884
_cell_length_c 12.7697
_cell_angle_alpha 90.00
_cell_angle_beta 90.00
_cell_angle_gamma 90.00
loop_
_symmetry_equiv_pos_as_xyz
'x,y,z'
loop_
_atom_site_label
_atom_site_fract_x
_atom_site_fract_y
_atom_site_fract_z
Zn1 0.0000 0.0000 0.0000
Zn2 0.5000 0.5000 0.5000
Au1 0.0000 0.0000 0.5000
Au2 0.0000 0.5000 0.7500
Au3 0.5000 0.0000 0.2500
Au4 0.5000 0.5000 0.0000
I1 0.2260 0.7488 0.1259
I2 0.2488 0.2740 0.3741
I3 0.2512 0.2260 0.8741
I4 0.2740 0.7512 0.6259
I5 0.7260 0.2488 0.6259
I6 0.7488 0.7740 0.8741
I7 0.7512 0.7260 0.3741
I8 0.7740 0.2512 0.1259
```

Computed properties:
energy	-2.219	eV/atom
density	6.4	Mg/m³



DFT (PBE) results for a relaxed Nb2Si2Tc crystal.

The structure in CIF format:
```
data_Nb2Si2Tc
_symmetry_space_group_name_H-M 'P 1'
_symmetry_Int_Tables_number 1
_cell_length_a 3.8151
_cell_length_b 3.8151
_cell_length_c 11.4542
_cell_angle_alpha 90.00
_cell_angle_beta 90.00
_cell_angle_gamma 90.00
loop_
_symmetry_equiv_pos_as_xyz
'x,y,z'
loop_
_atom_site_label
_atom_site_fract_x
_atom_site_fract_y
_atom_site_fract_z
Nb1 0.0000 0.5000 0.2500
Nb2 0.0000 0.5000 0.7500
Nb3 0.5000 0.0000 0.2500
Nb4 0.5000 0.0000 0.7500
Si1 0.0000 0.0000 0.0949
Si2 0.0000 0.0000 0.9051
Si3 0.5000 0.5000 0.4051
Si4 0.5000 0.5000 0.5949
Tc1 0.0000 0.0000 0.5000
Tc2 0.5000 0.5000 0.0000
```

Computed properties:
energy	-8.025	eV/atom
density	6.8	Mg/m³
distance to the lowest polymorph of the same formula	816	meV/atom



DFT (PBE) results for a relaxed PmPtNO crystal.

The structure in CIF format:
```
data_PmPtNO
_symmetry_space_group_name_H-M 'P 1'
_symmetry_Int_Tables_number 1
_cell_length_a 4.9871
_cell_length_b 4.9871
_cell_length_c 4.5361
_cell_angle_alpha 90.00
_cell_angle_beta 90.00
_cell_angle_gamma 90.00
loop_
_symmetry_equiv_pos_as_xyz
'x,y,z'
loop_
_atom_site_label
_atom_site_fract_x
_atom_site_fract_y
_atom_site_fract_z
Pm1 0.2500 0.7500 0.0000
Pm2 0.7500 0.2500 0.0000
Pt1 0.2500 0.2500 0.4966
Pt2 0.7500 0.7500 0.5034
N1 0.2500 0.2500 0.9963
N2 0.7500 0.7500 0.0037
O1 0.2500 0.7500 0.5000
O2 0.7500 0.2500 0.5000
```

Computed properties:
energy	-6.799	eV/atom
density	10.9	Mg/m³
distance to the lowest polymorph of the same formula	491	meV/atom